No. 1
! TbGa6Ge, relaxed, DFT PBE-GGA; values from VASP
&SYSTEM
  ibrav = 0, nat = 8, ntyp = 3
/
ATOMIC_SPECIES
Tb 158.93 Tb.upf
Ga 69.72 Ga.upf
Ge 72.64 Ge.upf
CELL_PARAMETERS angstrom
3.754 -4.304 0.000
3.754 4.304 0.000
-1.108 0.000 5.573
ATOMIC_POSITIONS angstrom
Tb 0.000 0.000 0.000
Ga 2.599 1.788 1.035
Ga 0.680 0.000 3.218
Ga 3.800 1.788 4.538
Ga 2.599 -1.788 1.035
Ga 5.720 0.000 2.355
Ga 3.800 -1.788 4.538
Ge 3.200 0.000 2.787
! E ... -3.434 eV per atom
! E_form ... -8 meV per atom

=====

No. 2
! CsPaBi2O8, relaxed, DFT PBE-GGA; values from VASP
&SYSTEM
  ibrav = 0, nat = 12, ntyp = 4
/
ATOMIC_SPECIES
Cs 132.91 Cs.upf
Pa 231.04 Pa.upf
Bi 208.98 Bi.upf
O 16.00 O.upf
CELL_PARAMETERS angstrom
6.170 0.000 0.000
-3.085 5.344 0.000
0.000 0.000 8.647
ATOMIC_POSITIONS angstrom
Cs 0.000 0.000 0.000
Pa 0.000 0.000 4.324
Bi 0.000 3.562 6.430
Bi 3.085 1.781 2.217
O -0.315 1.702 5.608
O -1.454 4.765 5.608
O 1.317 1.123 3.040
O 0.000 3.562 8.403
O 3.085 1.781 0.244
O 1.769 4.220 5.608
O 4.539 0.579 3.040
O 3.400 3.642 3.040
! E ... -6.379 eV per atom
! Formation energy (no corrections) ... -1.56 eV per atom

=====

No. 3
! DyHo2Ni2, relaxed, DFT PBE-GGA; values from VASP
&SYSTEM
  ibrav = 0, nat = 10, ntyp = 3
/
ATOMIC_SPECIES
Dy 162.50 Dy.upf
Ho 164.93 Ho.upf
Ni 58.69 Ni.upf
CELL_PARAMETERS angstrom
1.829 -13.287 0.000
1.829 13.287 0.000
0.000 0.000 4.538
ATOMIC_POSITIONS angstrom
Dy 1.829 9.719 3.404
Dy 1.829 -9.719 1.135
Ho 1.829 7.207 1.135
Ho 1.829 1.346 3.404
Ho 1.829 -1.346 1.135
Ho 1.829 -7.207 3.404
Ni 1.829 12.556 3.404
Ni 1.829 4.117 3.404
Ni 1.829 -4.117 1.135
Ni 1.829 -12.556 1.135
! E ... -5.354 eV per atom
! ΔE to the lowest computed polymorph ... 0.0 meV/atom
! E_form ... -290 meV per atom

=====

No. 4
! Si6Ru7, relaxed, DFT PBE-GGA; values from VASP
&SYSTEM
  ibrav = 0, nat = 13, ntyp = 2
/
ATOMIC_SPECIES
Si 28.09 Si.upf
Ru 101.07 Ru.upf
CELL_PARAMETERS angstrom
2.645 1.527 7.951
-2.645 1.527 7.951
0.000 -3.054 7.951
ATOMIC_POSITIONS angstrom
Si 0.000 0.000 1.306
Si 0.000 0.000 3.996
Si 0.000 0.000 7.981
Si 0.000 0.000 15.873
Si 0.000 0.000 19.858
Si 0.000 0.000 22.549
Ru -1.336 -0.771 9.868
Ru 0.000 -1.542 13.986
Ru -1.336 0.771 13.986
Ru 0.000 0.000 11.927
Ru 1.336 -0.771 9.868
Ru 0.000 1.542 9.868
Ru 1.336 0.771 13.986
! E ... -7.419 eV per atom
! Formation energy (no corrections) ... 0.08 eV per atom

=====

No. 5
! Dy2TmTh, relaxed, DFT PBE-GGA; values from VASP
&SYSTEM
  ibrav = 0, nat = 4, ntyp = 3
/
ATOMIC_SPECIES
Dy 162.50 Dy.upf
Tm 168.93 Tm.upf
Th 232.04 Th.upf
CELL_PARAMETERS angstrom
3.544 0.000 0.000
0.000 3.544 0.000
0.000 0.000 10.033
ATOMIC_POSITIONS angstrom
Dy 0.000 0.000 2.474
Dy 0.000 0.000 7.559
Tm 1.772 1.772 5.016
Th 1.772 1.772 0.000
! E ... -5.243 eV per atom
! ΔE to the lowest computed polymorph ... 4.5 meV/atom
! E_form ... 31 meV per atom

=====

No. 6
! Er2Tm3Pu, relaxed, DFT PBE-GGA; values from VASP
&SYSTEM
  ibrav = 0, nat = 12, ntyp = 3
/
ATOMIC_SPECIES
Er 167.26 Er.upf
Tm 168.93 Tm.upf
Pu 244.00 Pu.upf
CELL_PARAMETERS angstrom
-2.878 6.694 4.656
2.878 -6.694 4.656
2.878 6.694 -4.656
ATOMIC_POSITIONS angstrom
Er 0.000 1.588 0.265
Er 0.000 5.106 0.265
Er 2.878 1.588 4.391
Er 2.878 5.106 4.391
Tm 2.878 -0.274 1.558
Tm 2.878 6.420 -1.558
Tm 2.878 3.347 1.249
Tm 0.000 3.347 3.407
Tm 0.000 0.274 6.214
Tm 0.000 6.968 3.098
Pu 1.439 3.347 -2.328
Pu 1.439 -3.347 2.328
! E ... -6.045 eV per atom
! E_form ... 101 meV per atom

=====

No. 7
! NbGaMo2H, relaxed, DFT PBE-GGA; values from VASP
&SYSTEM
  ibrav = 0, nat = 5, ntyp = 4
/
ATOMIC_SPECIES
Nb 92.91 Nb.upf
Ga 69.72 Ga.upf
Mo 95.94 Mo.upf
H 1.01 H.upf
CELL_PARAMETERS angstrom
4.041 0.000 0.000
0.000 4.041 0.000
0.000 0.000 4.102
ATOMIC_POSITIONS angstrom
Nb 0.000 0.000 0.000
Ga 2.021 2.021 0.000
Mo 0.000 2.021 2.051
Mo 2.021 0.000 2.051
H 0.000 0.000 2.051
! E ... -7.668 eV per atom

=====

No. 8
! Pr2InRh, relaxed, DFT PBE-GGA; values from VASP
&SYSTEM
  ibrav = 0, nat = 8, ntyp = 3
/
ATOMIC_SPECIES
Pr 140.91 Pr.upf
In 114.82 In.upf
Rh 102.91 Rh.upf
CELL_PARAMETERS angstrom
1.990 -7.453 0.000
1.990 7.453 0.000
0.000 0.000 7.554
ATOMIC_POSITIONS angstrom
Pr 1.990 5.375 3.793
Pr 1.990 5.375 7.538
Pr 1.990 -5.375 0.016
Pr 1.990 -5.375 3.761
In 1.990 0.072 5.666
In 1.990 -0.072 1.889
Rh 1.990 2.960 5.666
Rh 1.990 -2.960 1.889
! E ... -5.468 eV per atom
! ΔE to the lowest computed polymorph ... 0.0 meV/atom
! E_form ... -556 meV per atom

=====

No. 9
! LaMo2Os, relaxed, DFT PBE-GGA; values from VASP
&SYSTEM
  ibrav = 0, nat = 4, ntyp = 3
/
ATOMIC_SPECIES
La 138.91 La.upf
Mo 95.94 Mo.upf
Os 190.23 Os.upf
CELL_PARAMETERS angstrom
1.447 0.836 10.085
-1.447 0.836 10.085
0.000 -1.671 10.085
ATOMIC_POSITIONS angstrom
La 0.000 0.000 0.000
Mo 0.000 0.000 7.202
Mo 0.000 0.000 23.053
Os 0.000 0.000 15.128
! E ... -8.803 eV per atom
! ΔE to the lowest computed polymorph ... 298.1 meV/atom
! E_form ... 652 meV per atom

=====

No. 10
! Tl2CdHg2, relaxed, DFT PBE-GGA; values from VASP
&SYSTEM
  ibrav = 0, nat = 5, ntyp = 3
/
ATOMIC_SPECIES
Tl 204.38 Tl.upf
Cd 112.41 Cd.upf
Hg 200.59 Hg.upf
CELL_PARAMETERS angstrom
-2.118 2.118 8.430
2.118 -2.118 8.430
2.118 2.118 -8.430
ATOMIC_POSITIONS angstrom
Tl 0.000 0.000 1.639
Tl 0.000 0.000 15.220
Cd 0.000 0.000 8.430
Hg 2.118 0.000 4.215
Hg 0.000 2.118 4.215
! E ... -1.159 eV per atom
! ΔE to the lowest computed polymorph ... 80.5 meV/atom
! E_form ... 91 meV per atom

=====

No. 11
! Ac4La3, relaxed, DFT PBE-GGA; values from VASP
&SYSTEM
  ibrav = 0, nat = 14, ntyp = 2
/
ATOMIC_SPECIES
Ac 227.00 Ac.upf
La 138.91 La.upf
CELL_PARAMETERS angstrom
-5.287 5.287 5.287
5.287 -5.287 5.287
5.287 5.287 -5.287
ATOMIC_POSITIONS angstrom
Ac 4.472 0.815 -0.815
Ac 7.115 -1.829 1.829
Ac 0.815 0.815 0.815
Ac 0.815 -0.815 4.472
Ac -0.815 4.472 0.815
Ac 1.829 7.115 -1.829
Ac 3.458 3.458 3.458
Ac -1.829 1.829 7.115
La 7.930 1.322 0.000
La 3.965 0.000 2.643
La 2.643 3.965 0.000
La 0.000 2.643 3.965
La 1.322 0.000 7.930
La 0.000 7.930 1.322
! E ... -4.203 eV per atom
! ΔE to the lowest computed polymorph ... 234.4 meV/atom
! E_form ... 257 meV per atom

=====

No. 12
! Ac2PuAs, relaxed, DFT PBE-GGA; values from VASP
&SYSTEM
  ibrav = 0, nat = 4, ntyp = 3
/
ATOMIC_SPECIES
Ac 227.00 Ac.upf
Pu 244.00 Pu.upf
As 74.92 As.upf
CELL_PARAMETERS angstrom
5.337 0.000 0.000
0.000 5.337 0.000
0.000 0.000 4.334
ATOMIC_POSITIONS angstrom
Ac 0.000 2.668 0.000
Ac 2.668 0.000 0.000
Pu 0.000 0.000 2.167
As 2.668 2.668 2.167
! E ... -7.092 eV per atom
! ΔE to the lowest computed polymorph ... 0.0 meV/atom
! E_form ... -292 meV per atom

=====

No. 13
! YPt3O6, relaxed, DFT PBE-GGA; values from VASP
&SYSTEM
  ibrav = 0, nat = 10, ntyp = 3
/
ATOMIC_SPECIES
Y 88.91 Y.upf
Pt 195.08 Pt.upf
O 16.00 O.upf
CELL_PARAMETERS angstrom
3.561 -5.075 0.000
3.561 5.075 0.000
0.000 0.000 3.522
ATOMIC_POSITIONS angstrom
Y 0.000 0.000 0.000
Pt 1.780 2.538 1.761
Pt 1.780 -2.538 1.761
Pt 3.561 0.000 0.000
O 3.561 3.555 1.761
O 2.059 1.330 0.000
O 2.059 -1.330 0.000
O 5.062 1.330 0.000
O 5.062 -1.330 0.000
O 3.561 -3.555 1.761
! E ... -6.633 eV per atom
! Formation energy (no corrections) ... -1.20 eV per atom

=====

No. 14
! LaCd2Pt, relaxed, DFT PBE-GGA; values from VASP
&SYSTEM
  ibrav = 0, nat = 4, ntyp = 3
/
ATOMIC_SPECIES
La 138.91 La.upf
Cd 112.41 Cd.upf
Pt 195.08 Pt.upf
CELL_PARAMETERS angstrom
1.647 0.951 9.961
-1.647 0.951 9.961
0.000 -1.902 9.961
ATOMIC_POSITIONS angstrom
La 0.000 0.000 0.000
Cd 0.000 0.000 7.065
Cd 0.000 0.000 22.819
Pt 0.000 0.000 14.942
! E ... -3.301 eV per atom
! E_form ... -101 meV per atom

=====

No. 15
! CeCd2Cu, relaxed, DFT PBE-GGA; values from VASP
&SYSTEM
  ibrav = 0, nat = 4, ntyp = 3
/
ATOMIC_SPECIES
Ce 140.12 Ce.upf
Cd 112.41 Cd.upf
Cu 63.55 Cu.upf
CELL_PARAMETERS angstrom
0.000 3.528 3.528
3.528 0.000 3.528
3.528 3.528 0.000
ATOMIC_POSITIONS angstrom
Ce 0.000 0.000 0.000
Cd 1.764 1.764 1.764
Cd 3.528 3.528 3.528
Cu 5.291 5.291 5.291
! E ... -3.092 eV per atom
! E_form ... -127 meV per atom

=====

No. 16
! H3RuSe, relaxed, DFT PBE-GGA; values from VASP
&SYSTEM
  ibrav = 0, nat = 5, ntyp = 3
/
ATOMIC_SPECIES
H 1.01 H.upf
Ru 101.07 Ru.upf
Se 78.96 Se.upf
CELL_PARAMETERS angstrom
3.546 0.000 0.000
0.000 3.546 0.000
0.000 0.000 3.546
ATOMIC_POSITIONS angstrom
H 0.000 0.000 1.773
H 0.000 1.773 0.000
H 1.773 0.000 0.000
Ru 0.000 0.000 0.000
Se 1.773 1.773 1.773
! E ... -3.994 eV per atom
! ΔE to the lowest computed polymorph ... 0.0 meV/atom

=====

No. 17
! Ho2WC, relaxed, DFT PBE-GGA; values from VASP
&SYSTEM
  ibrav = 0, nat = 4, ntyp = 3
/
ATOMIC_SPECIES
Ho 164.93 Ho.upf
W 183.84 W.upf
C 12.01 C.upf
CELL_PARAMETERS angstrom
1.649 0.952 8.641
-1.649 0.952 8.641
0.000 -1.904 8.641
ATOMIC_POSITIONS angstrom
Ho 0.000 0.000 2.936
Ho 0.000 0.000 22.987
W 0.000 0.000 0.000
C 0.000 0.000 12.962
! E ... -7.147 eV per atom
! E_form ... 686 meV per atom

=====

No. 18
! TePb2Se, relaxed, DFT PBE-GGA; values from VASP
&SYSTEM
  ibrav = 0, nat = 4, ntyp = 3
/
ATOMIC_SPECIES
Te 127.60 Te.upf
Pb 207.20 Pb.upf
Se 78.96 Se.upf
CELL_PARAMETERS angstrom
0.000 3.891 3.891
3.891 0.000 3.891
3.891 3.891 0.000
ATOMIC_POSITIONS angstrom
Te 0.000 0.000 0.000
Pb 1.945 1.945 1.945
Pb 5.836 5.836 5.836
Se 3.891 3.891 3.891
! E ... -3.746 eV per atom
! ΔE to the lowest computed polymorph ... 245.5 meV/atom
! Formation energy (no corrections) ... -0.24 eV per atom

=====

No. 19
! ZrTl2TeO6, relaxed, DFT PBE-GGA; values from VASP
&SYSTEM
  ibrav = 0, nat = 20, ntyp = 4
/
ATOMIC_SPECIES
Zr 91.22 Zr.upf
Tl 204.38 Tl.upf
Te 127.60 Te.upf
O 16.00 O.upf
CELL_PARAMETERS angstrom
3.047 1.759 9.781
-3.047 1.759 9.781
0.000 -3.519 9.781
ATOMIC_POSITIONS angstrom
Zr 0.000 0.000 2.950
Zr 0.000 0.000 26.392
Tl 0.000 0.000 6.804
Tl 0.000 0.000 10.757
Tl 0.000 0.000 18.586
Tl 0.000 0.000 22.539
Te 0.000 0.000 0.000
Te 0.000 0.000 14.671
O 0.000 -2.022 8.509
O -1.751 1.011 8.509
O -1.415 -0.817 15.763
O 0.000 -1.633 13.580
O -1.415 0.817 13.580
O -1.751 -1.011 20.833
O 1.751 1.011 8.509
O 1.415 -0.817 15.763
O 0.000 1.633 15.763
O 1.415 0.817 13.580
O 1.751 -1.011 20.833
O 0.000 2.022 20.833
! E ... -6.178 eV per atom
! Formation energy (no corrections) ... -1.56 eV per atom

=====

No. 20
! HRuCN, relaxed, DFT PBE-GGA; values from VASP
&SYSTEM
  ibrav = 0, nat = 4, ntyp = 4
/
ATOMIC_SPECIES
H 1.01 H.upf
Ru 101.07 Ru.upf
C 12.01 C.upf
N 14.01 N.upf
CELL_PARAMETERS angstrom
2.579 -1.397 0.000
2.579 1.397 0.000
-0.990 0.000 4.403
ATOMIC_POSITIONS angstrom
H 0.000 0.000 0.000
Ru 0.433 0.000 2.696
C 3.922 0.000 1.447
N 4.135 0.000 0.101
! E ... -7.098 eV per atom
! ΔE to the lowest computed polymorph ... 47.0 meV/atom

=====

No. 21
! Sm2PuScS4, relaxed, DFT PBE-GGA; values from VASP
&SYSTEM
  ibrav = 0, nat = 8, ntyp = 4
/
ATOMIC_SPECIES
Sm 150.36 Sm.upf
Pu 244.00 Pu.upf
Sc 44.96 Sc.upf
S 32.06 S.upf
CELL_PARAMETERS angstrom
6.780 0.000 0.000
0.000 3.901 0.000
-2.232 0.000 6.436
ATOMIC_POSITIONS angstrom
Sm 0.000 0.000 0.000
Sm 3.390 1.950 0.000
Pu -1.116 1.950 3.218
Sc 2.274 0.000 3.218
S 0.075 0.000 4.750
S 1.194 1.950 1.724
S 3.355 1.950 4.711
S 4.473 0.000 1.686
! E ... -7.743 eV per atom
! Formation energy (no corrections) ... -1.92 eV per atom

=====

No. 22
! NdTm3Cl, relaxed, DFT PBE-GGA; values from VASP
&SYSTEM
  ibrav = 0, nat = 5, ntyp = 3
/
ATOMIC_SPECIES
Nd 144.24 Nd.upf
Tm 168.93 Tm.upf
Cl 35.45 Cl.upf
CELL_PARAMETERS angstrom
5.245 0.000 0.000
0.000 5.245 0.000
0.000 0.000 5.245
ATOMIC_POSITIONS angstrom
Nd 0.000 0.000 0.000
Tm 0.000 2.622 2.622
Tm 2.622 0.000 2.622
Tm 2.622 2.622 0.000
Cl 2.622 2.622 2.622
! E ... -4.416 eV per atom
! Formation energy (no corrections) ... -0.41 eV per atom

=====

No. 23
! PmGdDyLu, relaxed, DFT PBE-GGA; values from VASP
&SYSTEM
  ibrav = 0, nat = 4, ntyp = 4
/
ATOMIC_SPECIES
Pm 145.00 Pm.upf
Gd 157.25 Gd.upf
Dy 162.50 Dy.upf
Lu 174.97 Lu.upf
CELL_PARAMETERS angstrom
0.000 4.007 4.007
4.007 0.000 4.007
4.007 4.007 0.000
ATOMIC_POSITIONS angstrom
Pm 0.000 0.000 0.000
Gd 4.007 4.007 4.007
Dy 2.004 2.004 2.004
Lu 6.011 6.011 6.011
! E ... -6.884 eV per atom
! E_form ... 105 meV per atom